A relaxed Pb3BrF crystal, computed with PBE-GGA.

Cell: 5.304 5.304 5.304 Å, 90.00 90.00 90.00°
Positions (direct):
Pb: 0.000 0.500 0.000
Pb: 0.000 0.000 0.500
Pb: 0.500 0.000 0.000
Br: 0.500 0.500 0.500
F: 0.000 0.000 0.000

Properties
* calculated total energy: -3.32 eV/atom
* ρ: 8018 kg/m³
* distance to the lowest polymorph of the same formula: 0 meV/atom
* Fermi-level density of states: 1.2541 states/eV per atom
* formation energy from raw total energies: -0.383 eV per atom

=====

A relaxed Pb4Br3F4 crystal, computed with PBE-GGA.

Cell: 4.865 7.193 8.475 Å, 115.11 106.68 90.00°
Positions (direct):
Pb: 0.242 0.742 0.484
Pb: 0.758 0.258 0.516
Pb: 0.500 0.761 0.000
Pb: 0.500 0.239 0.000
Br: 0.123 0.123 0.245
Br: 0.877 0.877 0.755
Br: 0.000 0.500 0.000
F: 0.328 0.112 0.656
F: 0.672 0.456 0.344
F: 0.672 0.888 0.344
F: 0.328 0.544 0.656

Properties
* calculated total energy: -4.02 eV/atom
* ρ: 7461 kg/m³
* Fermi-level density of states: 0.1152 states/eV per atom
* formation energy from raw total energies: -1.537 eV per atom

=====

A relaxed Pb2Br2F crystal, computed with PBE-GGA.

Cell: 3.880 3.880 14.178 Å, 90.00 90.00 90.00°
Positions (direct):
Pb: 0.500 0.500 0.170
Pb: 0.500 0.500 0.830
Br: 0.500 0.500 0.644
Br: 0.500 0.500 0.356
F: 0.500 0.500 0.000

Properties
* calculated total energy: -3.09 eV/atom
* ρ: 4616 kg/m³
* distance to the lowest polymorph of the same formula: 514 meV/atom
* Fermi-level density of states: 0.2574 states/eV per atom
* formation energy from raw total energies: -0.562 eV per atom

=====

A relaxed Pb7Br2F12 crystal, computed with PBE-GGA.

Cell: 10.503 10.503 4.063 Å, 90.00 90.00 120.00°
Positions (direct):
Br: 0.667 0.333 0.000
Br: 0.333 0.667 0.500
F: 0.426 0.039 0.500
F: 0.961 0.388 0.500
F: 0.612 0.574 0.500
F: 0.130 0.203 0.500
F: 0.797 0.927 0.500
F: 0.073 0.870 0.500
F: 0.276 0.113 0.000
F: 0.887 0.163 0.000
F: 0.837 0.724 0.000
F: 0.381 0.430 0.000
F: 0.570 0.951 0.000
F: 0.049 0.619 0.000
Pb: 0.392 0.284 0.500
Pb: 0.716 0.108 0.500
Pb: 0.892 0.608 0.500
Pb: 0.100 0.415 0.000
Pb: 0.585 0.685 0.000
Pb: 0.315 0.900 0.000
Pb: 0.000 0.000 0.000

Properties
* calculated total energy: -4.64 eV/atom
* ρ: 7864 kg/m³
* Fermi-level density of states: 0.0000 states/eV per atom
* formation energy from raw total energies: -2.179 eV per atom